1.
Here is crystalline In3SbSe at its relaxed geometry from Alexandria. Energies are from PBE-GGA.

Energy relative to the elements, uncorrected in eV per formula unit: 0.03
DFT total energy in eV per atom: -3.1587
Total moment in μB per formula unit: 0.0
Symmetry: No. 38
Energy above the most stable polymorph in this dataset in meV/atom: 0.0

Lattice parameters (Å, degrees): 5.5644 5.7515 5.9984 118.65 90.00 90.00
Fractional coordinates of all 5 atoms:
In 0.5000 0.3380 0.1829
In 0.5000 0.8449 0.1829
In 0.0000 0.8245 0.6490
Sb 0.0000 0.5275 0.0550
Se 0.5000 0.8370 0.6741

2.
Here is crystalline InSbSe2 at its relaxed geometry from Alexandria. Energies are from PBE-GGA.

Energy relative to the elements, uncorrected in eV per formula unit: -1.06
DFT total energy in eV per atom: -3.7218
Total moment in μB per formula unit: 0.0
Symmetry: No. 8

Lattice parameters (Å, degrees): 6.6562 6.6562 4.3638 82.40 82.40 37.07
Fractional coordinates of all 4 atoms:
In 0.5044 0.5044 0.3213
Sb 0.7669 0.7669 0.9682
Se 0.9714 0.9714 0.8177
Se 0.2573 0.2573 0.3928

3.
Here is crystalline InSbSe2 at its relaxed geometry from Alexandria. Energies are from PBE-GGA.

Energy relative to the elements, uncorrected in eV per formula unit: -1.02
DFT total energy in eV per atom: -3.7134
Total moment in μB per formula unit: 0.0
Symmetry: No. 99

Lattice parameters (Å, degrees): 4.2777 4.2777 6.1947 90.00 90.00 90.02
Fractional coordinates of all 4 atoms:
In 0.0000 0.0000 0.3788
Sb 0.5000 0.5000 0.9156
Se 0.0000 0.0000 0.8728
Se 0.5000 0.5000 0.3328

4.
Here is crystalline InSbSe2 at its relaxed geometry from Alexandria. Energies are from PBE-GGA.

Energy relative to the elements, uncorrected in eV per formula unit: -0.74
DFT total energy in eV per atom: -3.6413
Total moment in μB per formula unit: 0.0
Symmetry: No. 33

Lattice parameters (Å, degrees): 6.5152 7.6455 9.6476 90.00 90.00 90.00
Fractional coordinates of all 16 atoms:
In 0.9430 0.0114 0.8880
In 0.4430 0.9886 0.1120
In 0.4430 0.4886 0.3880
In 0.9430 0.5114 0.6120
Sb 0.1088 0.0141 0.4954
Sb 0.6088 0.9859 0.5046
Sb 0.6088 0.4859 0.9954
Sb 0.1088 0.5141 0.0046
Se 0.1360 0.2937 0.7835
Se 0.6360 0.7063 0.2165
Se 0.6360 0.2063 0.2835
Se 0.1360 0.7937 0.7165
Se 0.5620 0.0931 0.8653
Se 0.0620 0.9069 0.1347
Se 0.0620 0.4069 0.3653
Se 0.5620 0.5931 0.6347

5.
Here is crystalline InSbSe2 at its relaxed geometry from Alexandria. Energies are from PBE-GGA.

Energy relative to the elements, uncorrected in eV per formula unit: -1.14
DFT total energy in eV per atom: -3.7414
Total moment in μB per formula unit: 0.0
Symmetry: No. 160

Lattice parameters (Å, degrees): 4.1375 4.1375 8.1773 75.35 75.35 60.00
Fractional coordinates of all 4 atoms:
In 0.4910 0.4910 0.5271
Sb 0.6667 0.6667 0.9998
Se 0.0761 0.0761 0.7717
Se 0.2662 0.2662 0.2014

6.
Here is crystalline InSbSe2 at its relaxed geometry from Alexandria. Energies are from PBE-GGA.

Energy relative to the elements, uncorrected in eV per formula unit: -0.19
DFT total energy in eV per atom: -3.5041
Total moment in μB per formula unit: 0.0
Symmetry: No. 47

Lattice parameters (Å, degrees): 4.0026 7.2601 3.9842 90.00 90.00 90.00
Fractional coordinates of all 4 atoms:
In 0.5000 0.0000 0.5000
Sb 0.0000 0.5000 0.5000
Se 0.0000 0.0000 0.0000
Se 0.5000 0.5000 0.0000

7.
Here is crystalline InSb4Se at its relaxed geometry from Alexandria. Energies are from PBE-GGA.

Energy relative to the elements, uncorrected in eV per formula unit: 1.63
DFT total energy in eV per atom: -3.5138
Total moment in μB per formula unit: 0.0
Symmetry: No. 216

Lattice parameters (Å, degrees): 6.2481 6.2481 6.2481 60.00 60.00 60.00
Fractional coordinates of all 6 atoms:
In 0.0000 0.0000 0.0000
Sb 0.8647 0.3784 0.3784
Sb 0.3784 0.3784 0.8647
Sb 0.3784 0.8647 0.3784
Sb 0.3784 0.3784 0.3784
Se 0.7500 0.7500 0.7500

8.
Here is crystalline InSbSe2 at its relaxed geometry from Alexandria. Energies are from PBE-GGA.

Energy relative to the elements, uncorrected in eV per formula unit: -0.20
DFT total energy in eV per atom: -3.5065
Total moment in μB per formula unit: 0.0
Symmetry: No. 71

Lattice parameters (Å, degrees): 5.5962 5.5962 5.5962 136.50 105.59 90.34
Fractional coordinates of all 4 atoms:
In 0.7500 0.2500 0.5000
Sb 0.2500 0.7500 0.5000
Se 0.0056 0.0056 0.0000
Se 0.4944 0.4944 0.0000